(1)
Material: CsCeCu2I8
Method: DFT, PBE-GGA
State: optimized geometry

The structure in POSCAR format:
```
CsCeCu2I8
1.0
6.117 -4.165 0.000
6.117 4.165 0.000
-3.048 0.000 10.790
Cs Ce Cu I
1 1 2 8
Direct
0.000 0.000 0.000
0.000 0.000 0.500
0.403 0.403 0.710
0.597 0.597 0.290
0.209 0.703 0.294
0.248 0.248 0.502
0.297 0.791 0.706
0.359 0.359 0.916
0.641 0.641 0.084
0.703 0.209 0.294
0.752 0.752 0.498
0.791 0.297 0.706
```

- Formation energy from raw total energies: -0.7581 eV per atom

***

(2)
Material: Cs2CeCuI6
Method: DFT, PBE-GGA
State: optimized geometry

The structure in POSCAR format:
```
Cs2CeCuI6
1.0
8.549 0.000 0.000
-4.274 7.403 0.000
0.000 0.000 7.093
Cs Ce Cu I
2 1 1 6
Direct
0.333 0.667 0.244
0.667 0.333 0.756
0.000 0.000 0.000
0.000 0.000 0.500
0.166 0.333 0.731
0.166 0.834 0.731
0.333 0.166 0.269
0.667 0.834 0.731
0.834 0.166 0.269
0.834 0.667 0.269
```

- Formation energy from raw total energies: -1.1752 eV per atom
- Offset from the most stable computed form: 0.00 eV/f.u.

***

(3)
Material: CsCeCuO4
Method: DFT, PBE-GGA
State: optimized geometry

The structure in POSCAR format:
```
CsCeCuO4
1.0
5.741 0.000 0.000
0.000 5.772 0.000
-0.852 0.000 7.913
Cs Ce Cu O
2 2 2 8
Direct
0.221 0.250 0.101
0.779 0.750 0.899
0.200 0.750 0.468
0.800 0.250 0.532
0.331 0.250 0.679
0.669 0.750 0.321
0.098 0.015 0.667
0.098 0.485 0.667
0.367 0.750 0.222
0.421 0.250 0.451
0.579 0.750 0.549
0.633 0.250 0.778
0.902 0.515 0.333
0.902 0.985 0.333
```

- Formation energy from raw total energies: -1.8102 eV per atom

***

(4)
Material: Cs2CeCuO4
Method: DFT, PBE-GGA
State: optimized geometry

The structure in POSCAR format:
```
Cs2CeCuO4
1.0
6.593 0.000 0.000
0.000 7.444 0.000
0.000 0.000 7.209
Cs Ce Cu O
4 2 2 8
Direct
0.250 0.004 0.209
0.250 0.496 0.209
0.750 0.504 0.791
0.750 0.996 0.791
0.250 0.750 0.642
0.750 0.250 0.358
0.250 0.250 0.690
0.750 0.750 0.310
0.006 0.750 0.457
0.250 0.002 0.791
0.250 0.498 0.791
0.494 0.750 0.457
0.506 0.250 0.543
0.750 0.502 0.209
0.750 0.998 0.209
0.994 0.250 0.543
```

- Formation energy from raw total energies: -1.7393 eV per atom

***

(5)
Material: Cs2CeCuS4
Method: DFT, PBE-GGA
State: optimized geometry

The structure in POSCAR format:
```
Cs2CeCuS4
1.0
7.666 0.000 0.000
0.000 7.666 0.000
0.000 0.000 8.918
Cs Ce Cu S
4 2 2 8
Direct
0.000 0.000 0.000
0.000 0.500 0.250
0.500 0.000 0.750
0.500 0.500 0.500
0.000 0.000 0.500
0.500 0.500 0.000
0.000 0.500 0.750
0.500 0.000 0.250
0.134 0.743 0.651
0.243 0.366 0.849
0.257 0.134 0.349
0.366 0.757 0.151
0.634 0.243 0.151
0.743 0.866 0.349
0.757 0.634 0.849
0.866 0.257 0.651
```

- Formation energy from raw total energies: -1.0354 eV per atom

***

(6)
Material: CsCe4Cu3S12
Method: DFT, PBE-GGA
State: optimized geometry

The structure in POSCAR format:
```
CsCe4Cu3S12
1.0
-4.951 4.951 4.951
4.951 -4.951 4.951
4.951 4.951 -4.951
Cs Ce Cu S
1 4 3 12
Direct
0.000 0.000 0.000
0.000 0.000 0.500
0.000 0.500 0.000
0.500 0.000 0.000
0.500 0.500 0.500
0.000 0.500 0.500
0.500 0.000 0.500
0.500 0.500 0.000
0.160 0.491 0.331
0.160 0.828 0.669
0.172 0.331 0.840
0.331 0.160 0.491
0.331 0.840 0.172
0.491 0.331 0.160
0.509 0.669 0.840
0.669 0.160 0.828
0.669 0.840 0.509
0.828 0.669 0.160
0.840 0.172 0.331
0.840 0.509 0.669
```

- Formation energy from raw total energies: -1.0323 eV per atom

***

(7)
Material: CsCe2CuS5
Method: DFT, PBE-GGA
State: optimized geometry

The structure in POSCAR format:
```
CsCe2CuS5
1.0
-3.914 3.914 6.926
3.914 -3.914 6.926
3.914 3.914 -6.926
Cs Ce Cu S
2 4 2 10
Direct
0.250 0.250 0.000
0.750 0.750 0.000
0.167 0.667 0.834
0.333 0.167 0.500
0.667 0.833 0.500
0.833 0.333 0.166
0.250 0.750 0.500
0.750 0.250 0.500
0.000 0.000 0.000
0.015 0.238 0.500
0.238 0.738 0.223
0.262 0.485 0.500
0.485 0.985 0.223
0.500 0.500 0.000
0.515 0.015 0.777
0.738 0.515 0.500
0.762 0.262 0.777
0.985 0.762 0.500
```

- Formation energy from raw total energies: -1.4522 eV per atom

***

(8)
Material: CsCe2CuSe5
Method: DFT, PBE-GGA
State: optimized geometry

The structure in POSCAR format:
```
CsCe2CuSe5
1.0
-4.074 4.074 7.308
4.074 -4.074 7.308
4.074 4.074 -7.308
Cs Ce Cu Se
2 4 2 10
Direct
0.250 0.250 0.000
0.750 0.750 0.000
0.164 0.664 0.828
0.336 0.164 0.500
0.664 0.836 0.500
0.836 0.336 0.172
0.250 0.750 0.500
0.750 0.250 0.500
0.000 0.000 0.000
0.016 0.235 0.500
0.235 0.735 0.219
0.265 0.484 0.500
0.484 0.984 0.219
0.500 0.500 0.000
0.516 0.016 0.781
0.735 0.516 0.500
0.765 0.265 0.781
0.984 0.765 0.500
```

- Formation energy from raw total energies: -1.3355 eV per atom

***

(9)
Material: Cs3Ce3CuSe8
Method: DFT, PBE-GGA
State: optimized geometry

The structure in POSCAR format:
```
Cs3Ce3CuSe8
1.0
7.123 -4.424 0.000
7.123 4.424 0.000
-4.413 0.000 8.386
Cs Ce Cu Se
3 3 1 8
Direct
0.000 0.000 0.000
0.000 0.500 0.000
0.500 0.000 0.000
0.000 0.500 0.500
0.500 0.000 0.500
0.500 0.500 0.500
0.000 0.000 0.500
0.191 0.191 0.651
0.248 0.693 0.694
0.270 0.270 0.311
0.307 0.752 0.306
0.693 0.248 0.694
0.730 0.730 0.689
0.752 0.307 0.306
0.809 0.809 0.349
```

- Formation energy from raw total energies: -1.3379 eV per atom

***

(10)
Material: CsCe4Cu3Se12
Method: DFT, PBE-GGA
State: optimized geometry

The structure in POSCAR format:
```
CsCe4Cu3Se12
1.0
-5.193 5.193 5.193
5.193 -5.193 5.193
5.193 5.193 -5.193
Cs Ce Cu Se
1 4 3 12
Direct
0.000 0.000 0.000
0.000 0.000 0.500
0.000 0.500 0.000
0.500 0.000 0.000
0.500 0.500 0.500
0.000 0.500 0.500
0.500 0.000 0.500
0.500 0.500 0.000
0.160 0.490 0.330
0.160 0.830 0.670
0.170 0.330 0.840
0.330 0.160 0.490
0.330 0.840 0.170
0.490 0.330 0.160
0.510 0.670 0.840
0.670 0.160 0.830
0.670 0.840 0.510
0.830 0.670 0.160
0.840 0.170 0.330
0.840 0.510 0.670
```

- Formation energy from raw total energies: -0.9409 eV per atom

***

(11)
Material: CsCeCu2Se4
Method: DFT, PBE-GGA
State: optimized geometry

The structure in POSCAR format:
```
CsCeCu2Se4
1.0
6.674 0.000 0.000
0.000 8.811 0.000
0.000 0.000 9.248
Cs Ce Cu Se
2 2 4 8
Direct
0.000 0.000 0.000
0.500 0.500 0.500
0.000 0.000 0.500
0.500 0.500 0.000
0.000 0.500 0.131
0.000 0.500 0.869
0.500 0.000 0.369
0.500 0.000 0.631
0.247 0.326 0.832
0.247 0.674 0.168
0.253 0.174 0.332
0.253 0.826 0.668
0.747 0.174 0.668
0.747 0.826 0.332
0.753 0.326 0.168
0.753 0.674 0.832
```

- Formation energy from raw total energies: -0.7009 eV per atom

***

(12)
Material: Cs2CeDyO4
Method: DFT, PBE-GGA
State: optimized geometry

The structure in POSCAR format:
```
Cs2CeDyO4
1.0
6.272 0.000 0.000
0.000 3.629 0.000
-2.078 0.000 6.948
Cs Ce Dy O
2 1 1 4
Direct
0.000 0.000 0.000
0.500 0.500 0.000
0.000 0.500 0.500
0.500 0.000 0.500
0.226 0.000 0.661
0.285 0.500 0.340
0.715 0.500 0.660
0.774 0.000 0.339
```

- Formation energy from raw total energies: -2.5687 eV per atom